# 1
This record from the Alexandria database describes a relaxed structure of LiMg4U3N8. The functional is PBE.

Cell: 6.6812 6.4767 6.6824 Å, 121.05 119.99 90.00°
Positions (direct):
1 N 0.7246 0.7363 0.9804
2 N 0.7517 0.7551 0.5033
3 N 0.7441 0.2635 0.4881
4 N 0.2559 0.7365 0.5119
5 N 0.2754 0.2637 0.0196
6 N 0.7442 0.2637 0.0196
7 N 0.2558 0.7363 0.9804
8 N 0.2483 0.2449 0.4967
9 U 0.5000 0.5000 0.0000
10 U 0.0000 0.5000 0.5000
11 U 0.5000 0.5000 0.5000
12 Mg 0.5000 0.0000 0.0000
13 Mg 0.0000 0.0000 0.0000
14 Mg 0.5000 0.0000 0.5000
15 Mg 0.0000 0.0000 0.5000
16 Li 0.0000 0.5000 0.0000

Energy relative to the elements, uncorrected = -16.5 eV/f.u.
Crystal system = trigonal

---

# 2
This record from the Alexandria database describes a relaxed structure of AgPbI2. The functional is PBE.

Cell: 8.2987 8.2987 7.1734 Å, 54.66 54.66 90.00°
Positions (direct):
1 Pb 0.7500 0.2500 0.5000
2 Pb 0.0000 0.0000 0.0000
3 Ag 0.5000 0.5000 0.0000
4 Ag 0.2500 0.7500 0.5000
5 I 0.3750 0.4112 0.7500
6 I 0.8750 0.8388 0.7500
7 I 0.1612 0.6250 0.2500
8 I 0.5888 0.1250 0.2500

Energy relative to the elements, uncorrected = -0.3 eV/f.u.
Crystal system = tetragonal

---

# 3
This record from the Alexandria database describes a relaxed structure of CaCu3O4. The functional is PBE.

Cell: 5.6006 5.6006 5.6006 Å, 90.00 90.00 90.00°
Positions (direct):
1 O 0.2500 0.7500 0.2500
2 O 0.7500 0.2500 0.2500
3 O 0.7500 0.7500 0.2500
4 O 0.7500 0.2500 0.7500
5 O 0.2500 0.7500 0.7500
6 O 0.2500 0.2500 0.2500
7 O 0.7500 0.7500 0.7500
8 O 0.2500 0.2500 0.7500
9 Cu 0.5000 0.0000 0.2500
10 Cu 0.0000 0.7500 0.5000
11 Cu 0.7500 0.5000 0.0000
12 Cu 0.0000 0.2500 0.5000
13 Cu 0.2500 0.5000 0.0000
14 Cu 0.5000 0.0000 0.7500
15 Ca 0.5000 0.5000 0.5000
16 Ca 0.0000 0.0000 0.0000

Energy relative to the elements, uncorrected = -9.7 eV/f.u.
Crystal system = cubic

---

# 4
This record from the Alexandria database describes a relaxed structure of PrIn6Hg. The functional is PBE.

Cell: 4.4225 6.9506 6.9506 Å, 90.07 90.00 90.00°
Positions (direct):
1 In 0.0000 0.7385 0.2615
2 In 0.0000 0.2615 0.7385
3 In 0.5000 0.0000 0.5000
4 In 0.0000 0.7377 0.7377
5 In 0.0000 0.2623 0.2623
6 In 0.5000 0.5000 0.0000
7 Hg 0.5000 0.5000 0.5000
8 Pr 0.5000 0.0000 0.0000

Crystal system = orthorhombic
E_form = -162.3 meV per atom